# NiAgMo2

A relaxed structure of NiAgMo2 (PBE, Alexandria).

```
data_NiAgMo2
_chemical_formula_sum 'Ni2 Ag2 Mo4'
_space_group_name_H-M_alt 'I -4 m 2'
_space_group_IT_number 119
_space_group_name_Hall 'I -4 -2'
_cell_length_a 3.962
_cell_length_b 3.962
_cell_length_c 7.671
_cell_angle_alpha 90.00
_cell_angle_beta 90.00
_cell_angle_gamma 90.00
loop_
_atom_site_label
_atom_site_type_symbol
_atom_site_fract_x
_atom_site_fract_y
_atom_site_fract_z
Ni1 Ni 0.000 0.000 0.000
Ag1 Ag 0.000 0.500 0.750
Mo1 Mo 0.000 0.000 0.500
Mo2 Mo 0.000 0.500 0.250
```

Computed properties:
calculated density: 9.885 Mg/m³
energy above the most stable polymorph in this dataset: 247 meV per atom
E_form: 0.448 eV per atom

=====

# LuInHgIr

A relaxed structure of LuInHgIr (PBE, Alexandria).

```
data_LuInHgIr
_chemical_formula_sum 'Lu4 In4 Hg4 Ir4'
_space_group_name_H-M_alt 'F -4 3 m'
_space_group_IT_number 216
_space_group_name_Hall 'F -4 2 3'
_cell_length_a 6.876
_cell_length_b 6.876
_cell_length_c 6.876
_cell_angle_alpha 90.00
_cell_angle_beta 90.00
_cell_angle_gamma 90.00
loop_
_atom_site_label
_atom_site_type_symbol
_atom_site_fract_x
_atom_site_fract_y
_atom_site_fract_z
Lu1 Lu 0.000 0.000 0.000
In1 In 0.000 0.000 0.500
Hg1 Hg 0.250 0.250 0.250
Ir1 Ir 0.250 0.250 0.750
```

Computed properties:
calculated density: 13.949 Mg/m³
E_form: -0.317 eV per atom

=====

- Which value of calculated density does entry 2 give?
  13.949 Mg/m³

=====

- Among the records above, which one has the highest calculated density?
  LuInHgIr